Entry from Alexandria: an optimized crystal structure of Li2HfSe2 (PBE-GGA).

Space group: I4/mmm
Raw formation energy, meV per atom: -886
Mass density, g cm⁻³: 7.1
Volume, Å³/cell: 82
Energy, hartree per atom: -0.18506

a = 3.529 Å, b = 3.529 Å, c = 7.072 Å
α = 75.55°, β = 75.55°, γ = 90.00°
Positions (direct):
Se: 0.614 0.614 0.772
Se: 0.386 0.386 0.228
Li: 0.250 0.750 0.500
Li: 0.750 0.250 0.500
Hf: 0.000 0.000 0.000